# SiMoN2O (GGA+U, optimized geometry)
data_SiMoN2O
_symmetry_space_group_name_H-M 'P 4/m m m'
_symmetry_Int_Tables_number 123
_symmetry_space_group_name_Hall '-P 4 2'
_cell_length_a 3.998
_cell_length_b 3.998
_cell_length_c 3.873
_cell_angle_alpha 90.00
_cell_angle_beta 90.00
_cell_angle_gamma 90.00
loop_
_atom_site_label
_atom_site_type_symbol
_atom_site_fract_x
_atom_site_fract_y
_atom_site_fract_z
Si1 Si 0.000 0.000 0.000
Mo1 Mo 0.500 0.500 0.500
N1 N 0.000 0.500 0.500
O1 O 0.500 0.500 0.000
# Theoretical density   4.5 Mg/m³
# Electronic total energy   -6.40 eV per atom
# Density of states at the Fermi level   1.04 states/eV per cell